Compound: Tl3MoPb2O6
Source: Alexandria
Functional: PBE with a Hubbard U
Structure: relaxed

Output
As for the magnetization: 0.00 Bohr magnetons per cell. As for the density of states at the Fermi level: 1.99 states/eV/f.u. The total energy comes out at -5.298 eV per atom. The volume is 222.0 Å³/cell. Its space group is C2/m (12).

Cell lengths 6.1268, 6.1268, 7.1558 Å; angles 100.47, 100.47, 117.98 degrees
Closest atoms and distances in Å follow each position.
Positions (direct):
1 Tl 0.1604 0.8396 0.5000  2 O 2.75
2 Tl 0.8396 0.1604 0.5000  2 O 2.75
3 Tl 0.5000 0.5000 0.5000  4 O 2.87
4 Mo 0.0000 0.0000 0.0000  6 O 1.97-1.98
5 Pb 0.3324 0.6676 0.0000  6 O 2.49-2.65
6 Pb 0.6676 0.3324 0.0000  6 O 2.49-2.65
7 O 0.9346 0.6643 0.8390  1 Mo 1.98
8 O 0.8222 0.8222 0.1783  1 Mo 1.97
9 O 0.0654 0.3357 0.1610  1 Mo 1.98
10 O 0.6643 0.9346 0.8390  1 Mo 1.98
11 O 0.1778 0.1778 0.8217  1 Mo 1.97
12 O 0.3357 0.0654 0.1610  1 Mo 1.98